{"formula": "Ag2IrRu", "functional": "meta-GGA SCAN", "state": "single point on PBEsol structure", "cell": [[1.3692, 0.7905, 9.2339], [-1.3692, 0.7905, 9.2339], [0.0000, -1.5810, 9.2339]], "species": ["Ag", "Ag", "Ir", "Ru"], "frac_coords": [[0.0000, 0.0000, 0.0000], [0.2462, 0.2462, 0.2462], [0.7533, 0.7533, 0.7533], [0.4940, 0.4940, 0.4940]], "energy_ev_per_atom": -41.955, "polymorph_energy_mev_per_atom": 0, "spacegroup": "R3m (160)", "delta_e_f_ev_per_atom": 0.2095}